Entry 1:
Computed, not measured: crystalline NdLuFe at its relaxed geometry at the PBE level of DFT. Values from VASP.

The energy relative to the elements is 0.10 eV per atom.

```
&SYSTEM
  ibrav = 0, nat = 3, ntyp = 3
/
ATOMIC_SPECIES
Lu 174.97 Lu.upf
Nd 144.24 Nd.upf
Fe 55.84 Fe.upf
CELL_PARAMETERS angstrom
-1.198 2.807 1.356
-1.831 0.542 -2.740
-3.359 -5.009 3.288
ATOMIC_POSITIONS crystal
Lu 0.044 0.044 0.087
Nd 0.295 0.295 0.591
Fe 0.661 0.661 0.322
```

Entry 2:
Computed, not measured: crystalline LuScFeNi at its relaxed geometry at the PBE level of DFT. Values from VASP.

The energy relative to the elements is -0.23 eV per atom.

```
&SYSTEM
  ibrav = 0, nat = 4, ntyp = 4
/
ATOMIC_SPECIES
Fe 55.84 Fe.upf
Lu 174.97 Lu.upf
Sc 44.96 Sc.upf
Ni 58.69 Ni.upf
CELL_PARAMETERS angstrom
-0.372 0.072 -4.516
-3.888 -1.235 -1.973
-2.610 3.112 -2.009
ATOMIC_POSITIONS crystal
Fe 0.000 0.000 0.000
Lu 0.750 0.750 0.750
Sc 0.250 0.250 0.250
Ni 0.500 0.500 0.500
```

Entry 3:
Computed, not measured: crystalline LuTaFeNi at its relaxed geometry at the PBE level of DFT. Values from VASP.

The energy relative to the elements is -0.09 eV per atom.

```
&SYSTEM
  ibrav = 0, nat = 4, ntyp = 4
/
ATOMIC_SPECIES
Lu 174.97 Lu.upf
Ta 180.95 Ta.upf
Ni 58.69 Ni.upf
Fe 55.84 Fe.upf
CELL_PARAMETERS angstrom
4.464 0.000 0.000
2.232 3.866 0.000
2.232 1.289 3.645
ATOMIC_POSITIONS crystal
Lu 0.000 0.000 0.000
Ta 0.500 0.500 0.500
Ni 0.250 0.250 0.250
Fe 0.750 0.750 0.750
```

Entry 4:
Computed, not measured: crystalline TbLuFeNi at its relaxed geometry at the PBE level of DFT. Values from VASP.

The energy relative to the elements is -0.12 eV per atom.

```
&SYSTEM
  ibrav = 0, nat = 4, ntyp = 4
/
ATOMIC_SPECIES
Fe 55.84 Fe.upf
Tb 158.93 Tb.upf
Ni 58.69 Ni.upf
Lu 174.97 Lu.upf
CELL_PARAMETERS angstrom
-3.473 -3.147 0.055
-1.661 -1.728 -4.028
0.858 -4.458 -1.169
ATOMIC_POSITIONS crystal
Fe 0.750 0.750 0.750
Tb 0.500 0.500 0.500
Ni 0.250 0.250 0.250
Lu 0.000 0.000 0.000
```